No. 1
First-principles (PBE) data for a relaxed structure of UGa3Ir2, as listed in Alexandria.

CIF file:
```
data_UGa3Ir2
_space_group_name_H-M_alt 'C 1 2/m 1'
_space_group_IT_number 12
_cell_length_a 18.160
_cell_length_b 3.044
_cell_length_c 11.728
_cell_angle_alpha 90.00
_cell_angle_beta 105.81
_cell_angle_gamma 90.00
loop_
_space_group_symop_operation_xyz
'x,y,z'
'-x,-y,-z'
'-x,y,-z'
'x,-y,z'
'x+1/2,y+1/2,z'
'-x+1/2,-y+1/2,-z'
'-x+1/2,y+1/2,-z'
'x+1/2,-y+1/2,z'
loop_
_atom_site_label
_atom_site_type_symbol
_atom_site_fract_x
_atom_site_fract_y
_atom_site_fract_z
_atom_site_occupancy
U1 U 0.000 0.000 0.000 1
U2 U 0.149 0.000 0.710 1
Ga1 Ga 0.000 0.500 0.500 1
Ga2 Ga 0.038 0.000 0.340 1
Ga3 Ga 0.118 0.500 0.210 1
Ga4 Ga 0.178 0.500 0.966 1
Ga5 Ga 0.225 0.000 0.389 1
Ir1 Ir 0.041 0.500 0.822 1
Ir2 Ir 0.137 0.500 0.475 1
Ir3 Ir 0.215 0.000 0.154 1
```

Output
The value obtained for the energy relative to the elements is -0.357 eV/atom.

***

No. 2
First-principles (PBE) data for a relaxed structure of UGa5Ir, as listed in Alexandria.

CIF file:
```
data_UGa5Ir
_space_group_name_H-M_alt 'P 4/m m m'
_space_group_IT_number 123
_space_group_name_Hall '-P 4 2'
_cell_length_a 4.345
_cell_length_b 4.345
_cell_length_c 6.747
_cell_angle_alpha 90.00
_cell_angle_beta 90.00
_cell_angle_gamma 90.00
loop_
_atom_site_label
_atom_site_type_symbol
_atom_site_fract_x
_atom_site_fract_y
_atom_site_fract_z
_atom_site_occupancy
U1 U 0.000 0.000 0.000 1
Ga1 Ga 0.000 0.500 0.297 1
Ga2 Ga 0.500 0.500 0.000 1
Ir1 Ir 0.000 0.000 0.500 1
```

Output
The value obtained for the energy relative to the elements is -0.432 eV/atom.

***

No. 3
First-principles (PBE) data for a relaxed structure of U4Ga6Ir7, as listed in Alexandria.

CIF file:
```
data_U4Ga6Ir7
_space_group_name_H-M_alt 'I m -3 m'
_space_group_IT_number 229
_space_group_name_Hall '-I 4 2 3'
_cell_length_a 8.407
_cell_length_b 8.407
_cell_length_c 8.407
_cell_angle_alpha 90.00
_cell_angle_beta 90.00
_cell_angle_gamma 90.00
loop_
_atom_site_label
_atom_site_type_symbol
_atom_site_fract_x
_atom_site_fract_y
_atom_site_fract_z
_atom_site_occupancy
U1 U 0.250 0.250 0.250 1
Ga1 Ga 0.000 0.000 0.309 1
Ir1 Ir 0.000 0.000 0.000 1
Ir2 Ir 0.000 0.250 0.500 1
```

Output
The value obtained for the energy relative to the elements is -0.537 eV/atom.

***

No. 4
First-principles (PBE) data for a relaxed structure of U2GaIr3, as listed in Alexandria.

CIF file:
```
data_U2GaIr3
_space_group_name_H-M_alt 'P 63/m m c'
_space_group_IT_number 194
_space_group_name_Hall '-P 6c 2c'
_cell_length_a 5.5672
_cell_length_b 5.5672
_cell_length_c 7.8767
_cell_angle_alpha 90.00
_cell_angle_beta 90.00
_cell_angle_gamma 120.00
loop_
_atom_site_label
_atom_site_type_symbol
_atom_site_fract_x
_atom_site_fract_y
_atom_site_fract_z
_atom_site_occupancy
U1 U 0.3333 0.6667 0.0732 1
Ga1 Ga 0.0000 0.0000 0.0000 1
Ir1 Ir 0.1705 0.3411 0.7500 1
```

Output
The value obtained for the energy relative to the elements is -0.633 eV/atom.

***

No. 5
First-principles (PBE) data for a relaxed structure of U2GaIr3, as listed in Alexandria.

CIF file:
```
data_U2GaIr3
_space_group_name_H-M_alt 'R -3 m'
_space_group_IT_number 166
_space_group_name_Hall '-R 3 2"'
_cell_length_a 5.5809
_cell_length_b 5.5809
_cell_length_c 11.7887
_cell_angle_alpha 90.00
_cell_angle_beta 90.00
_cell_angle_gamma 120.00
loop_
_atom_site_label
_atom_site_type_symbol
_atom_site_fract_x
_atom_site_fract_y
_atom_site_fract_z
_atom_site_occupancy
U1 U 0.0000 0.0000 0.1150 1
Ga1 Ga 0.0000 0.0000 0.5000 1
Ir1 Ir 0.0000 0.5000 0.0000 1
```

Output
The value obtained for the energy relative to the elements is -0.616 eV/atom.

***

No. 6
First-principles (PBE) data for a relaxed structure of UGa4Ir2, as listed in Alexandria.

CIF file:
```
data_UGa4Ir2
_space_group_name_H-M_alt 'P n m a'
_space_group_IT_number 62
_cell_length_a 17.043
_cell_length_b 4.245
_cell_length_c 6.711
_cell_angle_alpha 90.00
_cell_angle_beta 90.00
_cell_angle_gamma 90.00
loop_
_space_group_symop_operation_xyz
'x,y,z'
'-x,-y,-z'
'-x+1/2,-y,z+1/2'
'x+1/2,y,-z+1/2'
'x+1/2,-y+1/2,-z+1/2'
'-x+1/2,y+1/2,z+1/2'
'-x,y+1/2,-z'
'x,-y+1/2,z'
loop_
_atom_site_label
_atom_site_type_symbol
_atom_site_fract_x
_atom_site_fract_y
_atom_site_fract_z
_atom_site_occupancy
U1 U 0.138 0.250 0.041 1
Ga1 Ga 0.037 0.750 0.846 1
Ga2 Ga 0.070 0.250 0.499 1
Ga3 Ga 0.185 0.750 0.350 1
Ga4 Ga 0.189 0.750 0.749 1
Ir1 Ir 0.041 0.750 0.240 1
Ir2 Ir 0.220 0.250 0.552 1
```

Output
The value obtained for the energy relative to the elements is -0.443 eV/atom.

***

No. 7
First-principles (PBE) data for a relaxed structure of UZnGaIr, as listed in Alexandria.

CIF file:
```
data_UZnGaIr
_space_group_name_H-M_alt 'F -4 3 m'
_space_group_IT_number 216
_space_group_name_Hall 'F -4 2 3'
_cell_length_a 6.598
_cell_length_b 6.598
_cell_length_c 6.598
_cell_angle_alpha 90.00
_cell_angle_beta 90.00
_cell_angle_gamma 90.00
loop_
_atom_site_label
_atom_site_type_symbol
_atom_site_fract_x
_atom_site_fract_y
_atom_site_fract_z
_atom_site_occupancy
U1 U 0.000 0.000 0.000 1
Zn1 Zn 0.250 0.250 0.750 1
Ga1 Ga 0.000 0.000 0.500 1
Ir1 Ir 0.250 0.250 0.250 1
```

Output
The value obtained for the energy relative to the elements is -0.160 eV/atom.

***

No. 8
First-principles (PBE) data for a relaxed structure of VGaIr, as listed in Alexandria.

CIF file:
```
data_VGaIr
_space_group_name_H-M_alt 'P 1 21/m 1'
_space_group_IT_number 11
_cell_length_a 4.210
_cell_length_b 2.983
_cell_length_c 6.941
_cell_angle_alpha 90.00
_cell_angle_beta 101.03
_cell_angle_gamma 90.00
loop_
_space_group_symop_operation_xyz
'x,y,z'
'-x,-y,-z'
'-x,y+1/2,-z'
'x,-y+1/2,z'
loop_
_atom_site_label
_atom_site_type_symbol
_atom_site_fract_x
_atom_site_fract_y
_atom_site_fract_z
_atom_site_occupancy
V1 V 0.249 0.250 0.004 1
Ga1 Ga 0.174 0.750 0.672 1
Ir1 Ir 0.321 0.750 0.312 1
```

Output
The value obtained for the energy relative to the elements is -0.365 eV/atom.

***

No. 9
First-principles (PBE) data for a relaxed structure of V4GaIr, as listed in Alexandria.

CIF file:
```
data_V4GaIr
_space_group_name_H-M_alt 'C m m m'
_space_group_IT_number 65
_space_group_name_Hall '-C 2 2'
_cell_length_a 4.335
_cell_length_b 8.724
_cell_length_c 4.388
_cell_angle_alpha 90.00
_cell_angle_beta 90.00
_cell_angle_gamma 90.00
loop_
_atom_site_label
_atom_site_type_symbol
_atom_site_fract_x
_atom_site_fract_y
_atom_site_fract_z
_atom_site_occupancy
V1 V 0.000 0.173 0.000 1
V2 V 0.000 0.323 0.500 1
Ga1 Ga 0.000 0.000 0.500 1
Ir1 Ir 0.000 0.500 0.000 1
```

Output
The value obtained for the energy relative to the elements is -0.250 eV/atom.

***

No. 10
First-principles (PBE) data for a relaxed structure of VGaIr, as listed in Alexandria.

CIF file:
```
data_VGaIr
_space_group_name_H-M_alt 'P -1'
_space_group_IT_number 2
_cell_length_a 4.364
_cell_length_b 4.382
_cell_length_c 6.196
_cell_angle_alpha 80.22
_cell_angle_beta 69.66
_cell_angle_gamma 60.18
loop_
_space_group_symop_operation_xyz
'x,y,z'
'-x,-y,-z'
loop_
_atom_site_label
_atom_site_type_symbol
_atom_site_fract_x
_atom_site_fract_y
_atom_site_fract_z
_atom_site_occupancy
V1 V 0.085 0.171 0.162 1
Ga1 Ga 0.330 0.506 0.337 1
Ir1 Ir 0.292 0.158 0.755 1
```

Output
The value obtained for the energy relative to the elements is -0.375 eV/atom.

***

No. 11
First-principles (PBE) data for a relaxed structure of VGaIr, as listed in Alexandria.

CIF file:
```
data_VGaIr
_space_group_name_H-M_alt 'C m c m'
_space_group_IT_number 63
_space_group_name_Hall '-C 2c 2'
_cell_length_a 4.167
_cell_length_b 9.786
_cell_length_c 4.129
_cell_angle_alpha 90.00
_cell_angle_beta 90.00
_cell_angle_gamma 90.00
loop_
_atom_site_label
_atom_site_type_symbol
_atom_site_fract_x
_atom_site_fract_y
_atom_site_fract_z
_atom_site_occupancy
V1 V 0.000 0.072 0.250 1
Ga1 Ga 0.000 0.248 0.750 1
Ir1 Ir 0.000 0.407 0.250 1
```

Output
The value obtained for the energy relative to the elements is -0.436 eV/atom.

***

No. 12
First-principles (PBE) data for a relaxed structure of V6Ga2Ir, as listed in Alexandria.

CIF file:
```
data_V6Ga2Ir
_space_group_name_H-M_alt 'C 1 2/m 1'
_space_group_IT_number 12
_cell_length_a 9.091
_cell_length_b 4.920
_cell_length_c 6.611
_cell_angle_alpha 90.00
_cell_angle_beta 118.10
_cell_angle_gamma 90.00
loop_
_space_group_symop_operation_xyz
'x,y,z'
'-x,-y,-z'
'-x,y,-z'
'x,-y,z'
'x+1/2,y+1/2,z'
'-x+1/2,-y+1/2,-z'
'-x+1/2,y+1/2,-z'
'x+1/2,-y+1/2,z'
loop_
_atom_site_label
_atom_site_type_symbol
_atom_site_fract_x
_atom_site_fract_y
_atom_site_fract_z
_atom_site_occupancy
V1 V 0.074 0.241 0.211 1
V2 V 0.224 0.500 0.922 1
Ga1 Ga 0.145 0.000 0.647 1
Ir1 Ir 0.000 0.500 0.500 1
```

Output
The value obtained for the energy relative to the elements is 0.046 eV/atom.

***

Question: Which of these has the lowest energy relative to the elements?
Answer: number 4

***

Question: The lowest energy relative to the elements belongs to which entry?
Answer: number 4

***

Question: Among the records above, which one has the lowest energy relative to the elements?
Answer: number 4

***

Question: Among the records above, which one has the lowest energy relative to the elements?
Answer: number 4